a:
Entry from the Alexandria database: crystalline BePt2Br at its relaxed geometry (GGA-PBEsol).

Calculated values
Symmetry: Cmm2 (35)
Calculated volume in Å³/cell: 62
D(E_F) in states/eV per cell: 2.87

Unit cell a=2.859 b=2.859 c=8.505 alpha=90.00 beta=90.00 gamma=117.79
Fractional coordinates of all 4 atoms:
Be 0.000 0.000 0.510
Br 0.500 0.500 0.304
Pt 0.000 0.000 0.980
Pt 0.500 0.500 0.706

b:
Entry from the Alexandria database: crystalline BePt2Br at its relaxed geometry (GGA-PBEsol).

Calculated values
Symmetry: C2/m (12)
Calculated volume in Å³/cell: 69
D(E_F) in states/eV per cell: 1.62

Unit cell a=2.744 b=3.649 c=7.766 alpha=106.37 beta=90.00 gamma=112.09
Fractional coordinates of all 4 atoms:
Be 0.000 0.000 0.000
Br 0.500 0.000 0.500
Pt 0.342 0.685 0.159
Pt 0.658 0.315 0.841

Stability verdict: b, ahead by 314 meV/atom

a:
Entry from the Alexandria database: crystalline Be2PtBr at its relaxed geometry (GGA-PBEsol).

Calculated values
Symmetry: Cm (8)
Calculated volume in Å³/cell: 67
D(E_F) in states/eV per cell: 0.77

Unit cell a=3.620 b=3.620 c=6.511 alpha=66.23 beta=66.23 gamma=62.03
Fractional coordinates of all 4 atoms:
Be 0.059 0.059 0.929
Be 0.395 0.395 0.918
Br 0.399 0.399 0.567
Pt 0.647 0.647 0.085

b:
Entry from the Alexandria database: crystalline Be2PtBr at its relaxed geometry (GGA-PBEsol).

Calculated values
Symmetry: Pmmm (47)
Calculated volume in Å³/cell: 58
D(E_F) in states/eV per cell: 1.06

Unit cell a=2.883 b=3.223 c=6.232 alpha=90.00 beta=90.00 gamma=90.00
Fractional coordinates of all 4 atoms:
Be 0.000 0.000 0.683
Be 0.000 0.000 0.317
Br 0.500 0.000 0.000
Pt 0.500 0.500 0.500

Stability verdict: a, ahead by 32 meV/atom

a:
Entry from the Alexandria database: crystalline BePtBr2 at its relaxed geometry (GGA-PBEsol).

Calculated values
Symmetry: R3m (160)
Calculated volume in Å³/cell: 77
D(E_F) in states/eV per cell: 1.48

Unit cell a=3.206 b=3.206 c=8.852 alpha=79.57 beta=79.57 gamma=60.00
Fractional coordinates of all 4 atoms:
Be 0.246 0.246 0.262
Br 0.966 0.966 0.102
Br 0.772 0.772 0.684
Pt 0.516 0.516 0.452

b:
Entry from the Alexandria database: crystalline BePtBr2 at its relaxed geometry (GGA-PBEsol).

Calculated values
Symmetry: Cmm2 (35)
Calculated volume in Å³/cell: 85

Unit cell a=3.921 b=3.594 c=7.216 alpha=90.00 beta=90.00 gamma=123.06
Fractional coordinates of all 4 atoms:
Be 0.500 0.000 0.694
Br 0.000 0.000 0.907
Br 0.500 0.000 0.331
Pt 0.000 0.000 0.568

c:
Entry from the Alexandria database: crystalline BePtBr2 at its relaxed geometry (GGA-PBEsol).

Calculated values
Symmetry: Fm-3m (225)
Calculated volume in Å³/cell: 71
D(E_F) in states/eV per cell: 3.69

Unit cell a=4.639 b=4.639 c=4.639 alpha=60.00 beta=60.00 gamma=60.00
Fractional coordinates of all 4 atoms:
Be 0.500 0.500 0.500
Br 0.250 0.250 0.250
Br 0.750 0.750 0.750
Pt 0.000 0.000 0.000

Stability verdict: b, ahead by 65 meV/atom

a:
Entry from the Alexandria database: crystalline BeSbBr at its relaxed geometry (GGA-PBEsol).

Calculated values
Symmetry: Imm2 (44)
Calculated volume in Å³/cell: 78
D(E_F) in states/eV per cell: 1.36

Unit cell a=3.141 b=3.329 c=7.839 alpha=102.26 beta=101.56 gamma=90.00
Fractional coordinates of all 3 atoms:
Sb 0.555 0.555 0.109
Br 0.290 0.290 0.579
Be 0.156 0.156 0.311

b:
Entry from the Alexandria database: crystalline BeSbBr at its relaxed geometry (GGA-PBEsol).

Calculated values
Symmetry: F-43m (216)
Calculated volume in Å³/cell: 77
D(E_F) in states/eV per cell: 3.52

Unit cell a=4.783 b=4.783 c=4.783 alpha=60.00 beta=60.00 gamma=60.00
Fractional coordinates of all 3 atoms:
Sb 0.250 0.250 0.250
Br 0.500 0.500 0.500
Be 0.000 0.000 0.000

Stability verdict: a, ahead by 765 meV/atom

a:
Entry from the Alexandria database: crystalline ScBe2Br at its relaxed geometry (GGA-PBEsol).

Calculated values
Symmetry: Cmmm (65)
Calculated volume in Å³/cell: 62
D(E_F) in states/eV per cell: 1.78

Unit cell a=3.248 b=3.248 c=5.921 alpha=90.00 beta=90.00 gamma=90.09
Fractional coordinates of all 4 atoms:
Sc 0.500 0.500 0.000
Be 0.000 0.000 0.259
Be 0.000 0.000 0.741
Br 0.500 0.500 0.500

b:
Entry from the Alexandria database: crystalline ScBe2Br at its relaxed geometry (GGA-PBEsol).

Calculated values
Symmetry: Pmm2 (25)
Calculated volume in Å³/cell: 67
D(E_F) in states/eV per cell: 2.14

Unit cell a=3.161 b=3.958 c=5.366 alpha=90.00 beta=90.04 gamma=90.00
Fractional coordinates of all 4 atoms:
Sc 0.250 0.500 0.786
Be 0.750 0.000 0.029
Be 0.750 0.500 0.153
Br 0.750 0.000 0.532

Stability verdict: b, ahead by 260 meV/atom

a:
Entry from the Alexandria database: crystalline ScBe2Br at its relaxed geometry (GGA-PBEsol).

Calculated values
Symmetry: F-43m (216)
Calculated volume in Å³/cell: 63
D(E_F) in states/eV per cell: 2.40

Unit cell a=4.461 b=4.461 c=4.461 alpha=60.00 beta=60.00 gamma=60.00
Fractional coordinates of all 4 atoms:
Sc 0.750 0.750 0.750
Be 0.000 0.000 0.000
Be 0.250 0.250 0.250
Br 0.500 0.500 0.500

b:
Entry from the Alexandria database: crystalline ScBe2Br at its relaxed geometry (GGA-PBEsol).

Calculated values
Symmetry: Imm2 (44)
Calculated volume in Å³/cell: 61
D(E_F) in states/eV per cell: 1.70

Unit cell a=3.502 b=4.146 c=4.989 alpha=114.55 beta=110.55 gamma=90.00
Fractional coordinates of all 4 atoms:
Sc 0.261 0.761 0.521
Be 0.016 0.016 0.032
Be 0.721 0.221 0.441
Br 0.503 0.503 0.005

Stability verdict: b, ahead by 183 meV/atom

a:
Entry from the Alexandria database: crystalline BeSiBr2 at its relaxed geometry (GGA-PBEsol).

Calculated values
Symmetry: Cmm2 (35)
Calculated volume in Å³/cell: 89
D(E_F) in states/eV per cell: 0.70

Unit cell a=3.265 b=3.558 c=8.617 alpha=90.00 beta=90.00 gamma=117.31
Fractional coordinates of all 4 atoms:
Be 0.500 0.000 0.737
Si 0.000 0.000 0.541
Br 0.000 0.000 0.906
Br 0.500 0.000 0.316

b:
Entry from the Alexandria database: crystalline BeSiBr2 at its relaxed geometry (GGA-PBEsol).

Calculated values
Symmetry: P4/mmm (123)
Calculated volume in Å³/cell: 75
D(E_F) in states/eV per cell: 2.05

Unit cell a=3.332 b=4.742 c=4.743 alpha=90.03 beta=90.00 gamma=90.00
Fractional coordinates of all 4 atoms:
Be 0.500 0.500 0.500
Si 0.500 0.000 0.000
Br 0.000 0.500 0.000
Br 0.000 0.000 0.500

c:
Entry from the Alexandria database: crystalline BeSiBr2 at its relaxed geometry (GGA-PBEsol).

Calculated values
Symmetry: C2/m (12)
Calculated volume in Å³/cell: 91
D(E_F) in states/eV per cell: 1.12

Unit cell a=3.181 b=5.080 c=6.048 alpha=105.55 beta=105.24 gamma=90.00
Fractional coordinates of all 4 atoms:
Be 0.500 0.000 0.000
Si 0.000 0.500 0.000
Br 0.856 0.826 0.712
Br 0.144 0.174 0.288

Stability verdict: a, ahead by 146 meV/atom

a:
Entry from the Alexandria database: crystalline SrBeBr at its relaxed geometry (GGA-PBEsol).

Calculated values
Symmetry: I4mm (107)
Calculated volume in Å³/cell: 86
D(E_F) in states/eV per cell: 1.64

Unit cell a=3.776 b=3.776 c=6.605 alpha=106.61 beta=106.61 gamma=90.00
Fractional coordinates of all 3 atoms:
Sr 0.670 0.670 0.341
Br 0.307 0.307 0.614
Be 0.023 0.023 0.045

b:
Entry from the Alexandria database: crystalline SrBeBr at its relaxed geometry (GGA-PBEsol).

Calculated values
Symmetry: F-43m (216)
Calculated volume in Å³/cell: 86
D(E_F) in states/eV per cell: 1.64

Unit cell a=4.950 b=4.950 c=4.950 alpha=60.00 beta=60.00 gamma=60.00
Fractional coordinates of all 3 atoms:
Sr 0.500 0.500 0.500
Br 0.000 0.000 0.000
Be 0.750 0.750 0.750

Stability verdict: a, ahead by 248 meV/atom

a:
Entry from the Alexandria database: crystalline TaBeBr2 at its relaxed geometry (GGA-PBEsol).

Calculated values
Symmetry: Cmmm (65)
Calculated volume in Å³/cell: 85
D(E_F) in states/eV per cell: 2.32

Unit cell a=3.039 b=3.249 c=9.752 alpha=90.00 beta=90.00 gamma=117.88
Fractional coordinates of all 4 atoms:
Be 0.500 0.000 0.000
Br 0.000 0.000 0.718
Br 0.000 0.000 0.282
Ta 0.500 0.000 0.500

b:
Entry from the Alexandria database: crystalline TaBeBr2 at its relaxed geometry (GGA-PBEsol).

Calculated values
Symmetry: I-4m2 (119)
Calculated volume in Å³/cell: 73
D(E_F) in states/eV per cell: 3.51

Unit cell a=3.690 b=3.690 c=5.954 alpha=108.05 beta=108.05 gamma=90.00
Fractional coordinates of all 4 atoms:
Be 0.250 0.750 0.500
Br 0.000 0.000 0.000
Br 0.750 0.250 0.500
Ta 0.500 0.500 0.000

c:
Entry from the Alexandria database: crystalline TaBeBr2 at its relaxed geometry (GGA-PBEsol).

Calculated values
Symmetry: I-42d (122)
Calculated volume in Å³/cell: 157
D(E_F) in states/eV per cell: 7.02

Unit cell a=5.697 b=6.302 c=5.697 alpha=63.13 beta=90.00 gamma=116.87
Fractional coordinates of all 8 atoms:
Be 0.250 0.500 0.250
Be 0.500 0.000 0.500
Br 0.185 0.750 0.875
Br 0.565 0.750 0.375
Br 0.375 0.250 0.185
Br 0.875 0.250 0.565
Ta 0.750 0.500 0.750
Ta 0.000 0.000 0.000

d:
Entry from the Alexandria database: crystalline TaBeBr2 at its relaxed geometry (GGA-PBEsol).

Calculated values
Symmetry: Imm2 (44)
Calculated volume in Å³/cell: 87
D(E_F) in states/eV per cell: 2.49

Unit cell a=3.091 b=4.665 c=6.652 alpha=110.53 beta=103.43 gamma=90.00
Fractional coordinates of all 4 atoms:
Be 0.845 0.345 0.690
Br 0.968 0.968 0.936
Br 0.181 0.681 0.362
Ta 0.506 0.506 0.012

Stability verdict: d, ahead by 146 meV/atom

a:
Entry from the Alexandria database: crystalline Ta2BeBr at its relaxed geometry (GGA-PBEsol).

Calculated values
Symmetry: I-4m2 (119)
Calculated volume in Å³/cell: 64
D(E_F) in states/eV per cell: 4.28

Unit cell a=3.829 b=3.829 c=5.112 alpha=111.99 beta=111.99 gamma=90.00
Fractional coordinates of all 4 atoms:
Be 0.500 0.500 0.000
Br 0.250 0.750 0.500
Ta 0.000 0.000 0.000
Ta 0.750 0.250 0.500

b:
Entry from the Alexandria database: crystalline Ta2BeBr at its relaxed geometry (GGA-PBEsol).

Calculated values
Symmetry: Imm2 (44)
Calculated volume in Å³/cell: 64
D(E_F) in states/eV per cell: 3.64

Unit cell a=2.971 b=4.603 c=5.453 alpha=114.97 beta=105.81 gamma=90.00
Fractional coordinates of all 4 atoms:
Be 0.493 0.493 0.986
Br 0.256 0.756 0.512
Ta 0.982 0.982 0.965
Ta 0.769 0.269 0.538

Stability verdict: b, ahead by 205 meV/atom

a:
Entry from the Alexandria database: crystalline BeTcBr2 at its relaxed geometry (GGA-PBEsol).

Calculated values
Symmetry: F-43m (216)
Calculated volume in Å³/cell: 73
D(E_F) in states/eV per cell: 4.10

Unit cell a=4.695 b=4.695 c=4.695 alpha=60.00 beta=60.00 gamma=60.00
Fractional coordinates of all 4 atoms:
Be 0.500 0.500 0.500
Tc 0.250 0.250 0.250
Br 0.000 0.000 0.000
Br 0.750 0.750 0.750

b:
Entry from the Alexandria database: crystalline BeTcBr2 at its relaxed geometry (GGA-PBEsol).

Calculated values
Symmetry: P4/mmm (123)
Calculated volume in Å³/cell: 62
D(E_F) in states/eV per cell: 2.22

Unit cell a=3.086 b=4.482 c=4.482 alpha=90.00 beta=90.00 gamma=90.00
Fractional coordinates of all 4 atoms:
Be 0.500 0.000 0.000
Tc 0.500 0.500 0.500
Br 0.000 0.000 0.500
Br 0.000 0.500 0.000

c:
Entry from the Alexandria database: crystalline BeTcBr2 at its relaxed geometry (GGA-PBEsol).

Calculated values
Symmetry: Fm-3m (225)
Calculated volume in Å³/cell: 62
D(E_F) in states/eV per cell: 2.89

Unit cell a=4.450 b=4.450 c=4.450 alpha=60.00 beta=60.00 gamma=60.00
Fractional coordinates of all 4 atoms:
Be 0.500 0.500 0.500
Tc 0.000 0.000 0.000
Br 0.250 0.250 0.250
Br 0.750 0.750 0.750

d:
Entry from the Alexandria database: crystalline BeTcBr2 at its relaxed geometry (GGA-PBEsol).

Calculated values
Symmetry: C2/m (12)
Calculated volume in Å³/cell: 77
D(E_F) in states/eV per cell: 1.67

Unit cell a=3.211 b=3.432 c=7.352 alpha=103.20 beta=102.62 gamma=90.00
Fractional coordinates of all 4 atoms:
Be 0.000 0.500 0.000
Tc 0.500 0.000 0.000
Br 0.142 0.139 0.284
Br 0.858 0.861 0.716

Stability verdict: d, ahead by 790 meV/atom

a:
Entry from the Alexandria database: crystalline BeTc2Br at its relaxed geometry (GGA-PBEsol).

Calculated values
Symmetry: Pmmm (47)
Calculated volume in Å³/cell: 57
D(E_F) in states/eV per cell: 3.85

Unit cell a=2.836 b=4.330 c=4.613 alpha=90.00 beta=90.00 gamma=90.00
Fractional coordinates of all 4 atoms:
Be 0.500 0.500 0.000
Tc 0.000 0.000 0.000
Tc 0.500 0.000 0.500
Br 0.000 0.500 0.500

b:
Entry from the Alexandria database: crystalline BeTc2Br at its relaxed geometry (GGA-PBEsol).

Calculated values
Symmetry: Fm-3m (225)
Calculated volume in Å³/cell: 51
D(E_F) in states/eV per cell: 3.09

Unit cell a=4.172 b=4.172 c=4.172 alpha=60.00 beta=60.00 gamma=60.00
Fractional coordinates of all 4 atoms:
Be 0.500 0.500 0.500
Tc 0.250 0.250 0.250
Tc 0.750 0.750 0.750
Br 0.000 0.000 0.000

c:
Entry from the Alexandria database: crystalline BeTc2Br at its relaxed geometry (GGA-PBEsol).

Calculated values
Symmetry: Cmm2 (35)
Calculated volume in Å³/cell: 58
D(E_F) in states/eV per cell: 3.36

Unit cell a=2.834 b=2.834 c=8.130 alpha=90.00 beta=90.00 gamma=116.72
Fractional coordinates of all 4 atoms:
Be 0.000 0.000 0.505
Tc 0.000 0.000 0.978
Tc 0.500 0.500 0.731
Br 0.500 0.500 0.286

Stability verdict: c, ahead by 114 meV/atom